Here is a crystal of Ba2SbOs relaxed with PBEsol from the Alexandria database. Energies are from meta-GGA SCAN.

abc: 4.597 4.992 6.276
angles: 113.44 90.00 90.00
Fractional positions:
Ba (0.000, 0.107, 0.214)
Ba (0.500, 0.395, 0.790)
Sb (0.500, 0.698, 0.397)
Os (0.000, 0.802, 0.604)

## Properties
The energy is -47.167 eV/atom. Its magnetization is 0.000 μB/f.u. The energy relative to the elements, uncorrected is -0.107 eV per atom. Its space group is No. 38. As for the volume: 132.1 Å³ per cell.